Pm3C: optimized geometry, PBE.

Geometry as POSCAR:
```
Pm3C
1.0
4.1363 0.0000 0.0000
0.0000 4.4133 0.0000
0.0000 0.0000 6.1505
Pm C
3 1
direct
0.0000 0.0000 0.0000
0.0000 0.5000 0.4754
0.5000 0.0000 0.4118
0.5000 0.5000 0.2206
```

## Properties
* symmetry: Pmm2, No. 25
* energy above the most stable polymorph in this dataset: 546 meV/atom
* DFT formation energy: 580 meV per atom